Record 1
Entry from the Alexandria database: a geometry-optimized Ca2ZrPaBi4 structure (PBE).

Geometry as POSCAR:
```
Ca2ZrPaBi4
1.0
-1.278 3.844 -1.821
-7.312 -2.027 0.852
2.352 3.870 6.519
Ca Zr Pa Bi
2 1 1 4
Direct
0.500 0.000 0.500
0.000 0.500 0.500
0.000 0.000 0.000
0.500 0.500 0.000
0.500 0.238 0.232
0.500 0.762 0.768
0.000 0.247 0.763
0.000 0.753 0.237
```

Properties
- crystal system = monoclinic
- symmetry = No. 10
- ΔH_f (0 K) (eV/atom) = -0.496

---

Record 2
Entry from the Alexandria database: a geometry-optimized Ca6BiPb5 structure (PBE).

Geometry as POSCAR:
```
Ca6BiPb5
1.0
-2.418 4.505 -0.270
-7.705 -3.962 2.881
-3.084 1.778 8.667
Pb Ca Bi
5 6 1
Direct
0.674 0.173 0.653
0.334 0.334 0.331
0.000 0.500 0.000
0.666 0.666 0.669
0.326 0.827 0.347
0.834 0.586 0.332
0.834 0.081 0.332
0.500 0.753 0.000
0.500 0.247 0.000
0.166 0.919 0.668
0.166 0.414 0.668
0.000 0.000 0.000
```

Properties
- crystal system = orthorhombic
- symmetry = No. 71
- ΔH_f (0 K) (eV/atom) = -0.557

---

Record 3
Entry from the Alexandria database: a geometry-optimized Ca8BiPb2 structure (PBE).

Geometry as POSCAR:
```
Ca8BiPb2
1.0
5.283 0.000 0.000
0.000 7.563 0.475
-2.641 -2.639 9.539
Ca Bi Pb
8 1 2
Direct
0.405 0.543 0.810
0.662 0.969 0.324
0.791 0.688 0.582
0.972 0.230 0.944
0.209 0.312 0.418
0.338 0.031 0.676
0.595 0.457 0.190
0.028 0.770 0.056
0.500 0.000 0.000
0.809 0.271 0.618
0.191 0.729 0.382
```

Properties
- crystal system = monoclinic
- symmetry = No. 12
- ΔH_f (0 K) (eV/atom) = -0.424

---

Record 4
Entry from the Alexandria database: a geometry-optimized CaBi2Pb structure (PBE).

Geometry as POSCAR:
```
CaBi2Pb
1.0
4.851 0.000 0.000
0.000 5.062 0.000
0.000 0.000 5.062
Pb Ca Bi
1 1 2
Direct
0.500 0.000 0.000
0.500 0.500 0.500
0.000 0.000 0.500
0.000 0.500 0.000
```

Properties
- crystal system = tetragonal
- symmetry = No. 123
- ΔH_f (0 K) (eV/atom) = -0.375

---

Record 5
Entry from the Alexandria database: a geometry-optimized Ca2Bi5Pb structure (PBE).

Geometry as POSCAR:
```
Ca2Bi5Pb
1.0
-2.254 0.460 -6.581
-5.882 -2.827 2.452
2.212 5.881 3.028
Ca Bi Pb
2 5 1
Direct
0.278 0.778 0.500
0.778 0.278 0.500
0.278 0.278 0.500
0.278 0.778 0.000
0.778 0.278 0.000
0.778 0.778 0.500
0.278 0.278 0.000
0.778 0.778 0.000
```

Properties
- crystal system = tetragonal
- symmetry = No. 107
- ΔH_f (0 K) (eV/atom) = -0.384

---

Record 6
Entry from the Alexandria database: a geometry-optimized CaBi6Pb5 structure (PBE).

Geometry as POSCAR:
```
CaBi6Pb5
1.0
-3.707 -0.832 -3.148
4.175 -8.477 1.129
-4.248 2.316 8.195
Pb Ca Bi
5 1 6
Direct
0.500 0.169 0.831
0.000 0.328 0.672
0.500 0.500 0.500
0.000 0.672 0.328
0.500 0.831 0.169
0.000 0.000 0.000
0.249 0.087 0.413
0.751 0.587 0.913
0.743 0.245 0.245
0.257 0.755 0.755
0.249 0.413 0.087
0.751 0.913 0.587
```

Properties
- crystal system = monoclinic
- symmetry = No. 12
- ΔH_f (0 K) (eV/atom) = -0.086